This record from Alexandria describes Rb2WBrF6 after structural relaxation. The functional is PBE with a Hubbard U.

Computed properties:
calculated volume	265.4	Å³/f.u.
Fermi-level density of states	0.00	states/eV/atom
energy	-92.59	eV/cell

Unit cell a=7.287 b=7.287 c=9.997 alpha=90.00 beta=90.00 gamma=90.00
Space group I4/mmm (No. 139)
One atom of each set of equivalent atoms:
Rb: 0.000 0.500 0.250 x4
W: 0.000 0.000 0.000 x2
Br: 0.000 0.000 0.500 x2
F: 0.000 0.000 0.190 x4
F: 0.190 0.190 0.000 x8